Below is a relaxed structure of Cr3HN, with properties calculated at the PBE level.

The space group is C2/c, No. 15. For the relative energy among the computed polymorphs, the calculation gives 0 meV per atom. For the total moment, the calculation gives 0.0000 μB/atom. For the final energy, the calculation gives -8.23 eV per atom.

```
Cr3HN
1.0
4.214 -2.823 0.000
4.214 2.823 0.000
-3.916 0.000 7.456
Cr H N
12 4 4
Direct
0.158 0.171 0.826 Cr
0.171 0.158 0.326 Cr
0.223 0.767 0.995 Cr
0.233 0.777 0.505 Cr
0.322 0.335 0.663 Cr
0.335 0.322 0.163 Cr
0.665 0.678 0.837 Cr
0.678 0.665 0.337 Cr
0.767 0.223 0.495 Cr
0.777 0.233 0.005 Cr
0.829 0.842 0.674 Cr
0.842 0.829 0.174 Cr
0.376 0.411 0.391 H
0.411 0.376 0.891 H
0.589 0.624 0.109 H
0.624 0.589 0.609 H
0.000 0.500 0.000 N
0.245 0.755 0.750 N
0.500 0.000 0.500 N
0.755 0.245 0.250 N
```

Below is a relaxed structure of CrHN, with properties calculated at the PBE level.

The space group is P4/nmm, No. 129. For the relative energy among the computed polymorphs, the calculation gives 0 meV per atom. For the total moment, the calculation gives 0.0000 μB/atom. For the final energy, the calculation gives -7.29 eV per atom.

```
CrHN
1.0
3.301 0.000 0.000
0.000 3.301 0.000
0.000 0.000 4.938
Cr H N
2 2 2
Direct
0.250 0.750 0.000 Cr
0.750 0.250 0.000 Cr
0.250 0.250 0.440 H
0.750 0.750 0.560 H
0.250 0.250 0.232 N
0.750 0.750 0.768 N
```

Below is a relaxed structure of CrHN, with properties calculated at the PBE level.

The space group is P2_1/m, No. 11. For the relative energy among the computed polymorphs, the calculation gives 219 meV per atom. For the total moment, the calculation gives 0.2710 μB/atom. For the final energy, the calculation gives -7.07 eV per atom.

```
CrHN
1.0
4.490 0.000 0.000
0.000 2.917 0.000
-1.489 0.000 4.948
Cr H N
2 2 2
Direct
0.234 0.250 0.036 Cr
0.766 0.750 0.964 Cr
0.353 0.750 0.830 H
0.647 0.250 0.170 H
0.169 0.750 0.218 N
0.831 0.250 0.782 N
```

Below is a relaxed structure of CrHN2, with properties calculated at the PBE level.

The space group is R-3m, No. 166. For the relative energy among the computed polymorphs, the calculation gives 1678 meV per atom. For the total moment, the calculation gives 0.0000 μB/atom. For the final energy, the calculation gives -5.74 eV per atom.

```
CrHN2
1.0
1.358 0.784 4.964
-1.358 0.784 4.964
0.000 -1.568 4.964
Cr H N
1 1 2
Direct
0.000 0.000 0.000 Cr
0.500 0.500 0.500 H
0.118 0.118 0.118 N
0.882 0.882 0.882 N
```

Below is a relaxed structure of CrHN3, with properties calculated at the PBE level.

The space group is Pm-3m, No. 221. For the total moment, the calculation gives 0.0000 μB/atom. For the final energy, the calculation gives -5.62 eV per atom.

```
CrHN3
1.0
3.195 0.000 0.000
0.000 3.195 0.000
0.000 0.000 3.195
Cr H N
1 1 3
Direct
0.000 0.000 0.000 Cr
0.500 0.500 0.500 H
0.000 0.500 0.500 N
0.500 0.000 0.500 N
0.500 0.500 0.000 N
```

Below is a relaxed structure of Cr3HN, with properties calculated at the PBE level.

The space group is Pm-3m, No. 221. For the relative energy among the computed polymorphs, the calculation gives 574 meV per atom. For the total moment, the calculation gives 0.0000 μB/atom. For the final energy, the calculation gives -7.66 eV per atom.

```
Cr3HN
1.0
3.735 0.000 0.000
0.000 3.735 0.000
0.000 0.000 3.735
Cr H N
3 1 1
Direct
0.000 0.000 0.500 Cr
0.000 0.500 0.000 Cr
0.500 0.000 0.000 Cr
0.500 0.500 0.500 H
0.000 0.000 0.000 N
```

Below is a relaxed structure of NdCrHN2, with properties calculated at the PBE level.

The space group is P4/mmm, No. 123. For the total moment, the calculation gives 0.0683 μB/atom. For the final energy, the calculation gives -7.64 eV per atom.

```
NdCrHN2
1.0
3.843 0.000 0.000
0.000 3.843 0.000
0.000 0.000 3.555
Nd Cr H N
1 1 1 2
Direct
0.000 0.000 0.000 Nd
0.500 0.500 0.500 Cr
0.500 0.500 0.000 H
0.000 0.500 0.500 N
0.500 0.000 0.500 N
```